(1)
Below is a geometry-optimized ZrAsSe2N structure, with properties calculated at the GGA-PBE level.

Cell: 5.115 5.115 3.646 Å, 90.00 90.00 90.00°
Space group P4/mmm (No. 123)
Inequivalent atoms, fractional coordinates:
1 Zr 0.000 0.000 0.000 x1
2 As 0.500 0.500 0.500 x1
3 Se 0.000 0.500 0.500 x2
4 N 0.500 0.500 0.000 x1

## Properties
Energy above the lowest structure with this stoichiometry in meV/atom: 217
Formation energy without anion corrections in eV/atom: 0.3933
E_tot in eV/atom: -5.3051

***

(2)
Below is a geometry-optimized ZrAs2SeN structure, with properties calculated at the GGA-PBE level.

Cell: 5.246 5.246 5.197 Å, 90.00 90.00 90.00°
Space group P4/mmm (No. 123)
Inequivalent atoms, fractional coordinates:
1 Zr 0.000 0.000 0.000 x1
2 As 0.000 0.500 0.000 x2
3 Se 0.000 0.000 0.500 x1
4 N 0.500 0.500 0.500 x1

## Properties
Energy above the lowest structure with this stoichiometry in meV/atom: 782
Formation energy without anion corrections in eV/atom: 1.0519
E_tot in eV/atom: -4.8796

***

(3)
Below is a geometry-optimized ZrAsSe2N structure, with properties calculated at the GGA-PBE level.

Cell: 5.352 5.352 3.983 Å, 90.00 90.00 90.00°
Space group P4/mmm (No. 123)
Inequivalent atoms, fractional coordinates:
1 Zr 0.000 0.000 0.000 x1
2 As 0.500 0.500 0.500 x1
3 Se 0.000 0.500 0.000 x2
4 N 0.000 0.000 0.500 x1

## Properties
Energy above the lowest structure with this stoichiometry in meV/atom: 0
Formation energy without anion corrections in eV/atom: 0.1765
E_tot in eV/atom: -5.5219

***

(4)
Below is a geometry-optimized ZrAsSeN2 structure, with properties calculated at the GGA-PBE level.

Cell: 3.917 3.917 4.896 Å, 90.00 90.00 90.00°
Space group P4/mmm (No. 123)
Inequivalent atoms, fractional coordinates:
1 Zr 0.000 0.000 0.000 x1
2 As 0.500 0.500 0.500 x1
3 Se 0.500 0.500 0.000 x1
4 N 0.000 0.500 0.500 x2

## Properties
Energy above the lowest structure with this stoichiometry in meV/atom: 198
Formation energy without anion corrections in eV/atom: 0.7467
E_tot in eV/atom: -5.9199

***

(5)
Below is a geometry-optimized Si2AsN structure, with properties calculated at the GGA-PBE level.

Cell: 6.738 3.342 5.722 Å, 90.00 91.18 90.00°
Space group Cm (No. 8)
Inequivalent atoms, fractional coordinates:
1 Si 0.000 0.000 0.000 x2
2 Si 0.082 0.500 0.455 x2
3 As 0.261 0.000 0.658 x2
4 N 0.063 0.500 0.149 x2

## Properties
Energy above the lowest structure with this stoichiometry in meV/atom: 269
Formation energy without anion corrections in eV/atom: 0.1143
E_tot in eV/atom: -5.8409

***

(6)
Below is a geometry-optimized SiAs2N structure, with properties calculated at the GGA-PBE level.

Cell: 6.147 6.147 6.147 Å, 90.00 90.00 90.00°
Space group Fm-3m (No. 225)
Inequivalent atoms, fractional coordinates:
1 Si 0.000 0.000 0.000 x4
2 As 0.250 0.250 0.250 x8
3 N 0.000 0.000 0.500 x4

## Properties
Energy above the lowest structure with this stoichiometry in meV/atom: 543
Formation energy without anion corrections in eV/atom: 1.2242
E_tot in eV/atom: -4.5377

***

(7)
Below is a geometry-optimized Si2AsN structure, with properties calculated at the GGA-PBE level.

Cell: 3.190 3.613 7.756 Å, 86.59 79.01 64.19°
Space group P1 (No. 1)
Inequivalent atoms, fractional coordinates:
1 Si 0.000 0.000 0.000 x1
2 Si 0.325 0.014 0.364 x1
3 As 0.564 0.392 0.522 x1
4 N 0.441 0.997 0.132 x1

## Properties
Energy above the lowest structure with this stoichiometry in meV/atom: 269
Formation energy without anion corrections in eV/atom: 0.1145
E_tot in eV/atom: -5.8408

***

(8)
Below is a geometry-optimized Si2AsN structure, with properties calculated at the GGA-PBE level.

Cell: 5.995 5.995 5.995 Å, 90.00 90.00 90.00°
Space group Fm-3m (No. 225)
Inequivalent atoms, fractional coordinates:
1 Si 0.250 0.250 0.250 x8
2 As 0.000 0.000 0.000 x4
3 N 0.000 0.000 0.500 x4

## Properties
Energy above the lowest structure with this stoichiometry in meV/atom: 1337
Formation energy without anion corrections in eV/atom: 1.1828
E_tot in eV/atom: -4.7724

***

(9)
Below is a geometry-optimized Si2AsN structure, with properties calculated at the GGA-PBE level.

Cell: 12.380 2.871 3.821 Å, 90.00 104.71 90.00°
Space group Cm (No. 8)
Inequivalent atoms, fractional coordinates:
1 Si 0.000 0.000 0.000 x2
2 Si 0.204 0.500 0.847 x2
3 As 0.329 0.500 0.462 x2
4 N 0.121 0.000 0.815 x2

## Properties
Energy above the lowest structure with this stoichiometry in meV/atom: 84
Formation energy without anion corrections in eV/atom: -0.0705
E_tot in eV/atom: -6.0257

***

(10)
Below is a geometry-optimized Si2AsN structure, with properties calculated at the GGA-PBE level.

Cell: 2.801 3.580 7.887 Å, 90.00 99.48 90.00°
Space group Pm (No. 6)
Inequivalent atoms, fractional coordinates:
1 Si 0.000 0.000 0.000 x1
2 Si 0.332 0.000 0.639 x1
3 As 0.238 0.500 0.435 x1
4 N 0.894 0.000 0.772 x1

## Properties
Energy above the lowest structure with this stoichiometry in meV/atom: 92
Formation energy without anion corrections in eV/atom: -0.0628
E_tot in eV/atom: -6.0180

***

(11)
Below is a geometry-optimized SiAs2N2 structure, with properties calculated at the GGA-PBE level.

Cell: 4.776 4.776 6.876 Å, 90.00 90.00 90.00°
Space group I4/mmm (No. 139)
Inequivalent atoms, fractional coordinates:
1 Si 0.000 0.000 0.000 x2
2 As 0.000 0.500 0.250 x4
3 N 0.000 0.000 0.246 x4

## Properties
Energy above the lowest structure with this stoichiometry in meV/atom: 213
Formation energy without anion corrections in eV/atom: 0.8874
E_tot in eV/atom: -5.3871

***

(12)
Below is a geometry-optimized Si2AsN structure, with properties calculated at the GGA-PBE level.

Cell: 2.863 2.863 9.661 Å, 92.82 91.83 120.00°
Space group P1 (No. 1)
Inequivalent atoms, fractional coordinates:
1 Si 0.000 0.000 0.000 x1
2 Si 0.063 0.073 0.249 x1
3 As 0.934 0.924 0.742 x1
4 N 0.412 0.757 0.309 x1

## Properties
Energy above the lowest structure with this stoichiometry in meV/atom: 0
Formation energy without anion corrections in eV/atom: -0.1543
E_tot in eV/atom: -6.1096

***

(13)
Below is a geometry-optimized SiAs3N structure, with properties calculated at the GGA-PBE level.

Cell: 4.351 4.351 4.351 Å, 90.00 90.00 90.00°
Space group Pm-3m (No. 221)
Inequivalent atoms, fractional coordinates:
1 Si 0.000 0.000 0.000 x1
2 As 0.000 0.500 0.500 x3
3 N 0.500 0.500 0.500 x1

## Properties
Energy above the lowest structure with this stoichiometry in meV/atom: 0
Formation energy without anion corrections in eV/atom: 0.8650
E_tot in eV/atom: -4.6744

***

(14)
Below is a geometry-optimized Si2AsN structure, with properties calculated at the GGA-PBE level.

Cell: 5.005 2.816 10.008 Å, 90.00 100.23 90.00°
Space group Cm (No. 8)
Inequivalent atoms, fractional coordinates:
1 Si 0.000 0.000 0.000 x2
2 Si 0.194 0.000 0.531 x2
3 As 0.104 0.000 0.283 x2
4 N 0.384 0.500 0.590 x2

## Properties
Energy above the lowest structure with this stoichiometry in meV/atom: 143
Formation energy without anion corrections in eV/atom: -0.0114
E_tot in eV/atom: -5.9666

***

(15)
Below is a geometry-optimized Si2AsN structure, with properties calculated at the GGA-PBE level.

Cell: 12.316 2.856 3.860 Å, 90.00 105.38 90.00°
Space group Cm (No. 8)
Inequivalent atoms, fractional coordinates:
1 Si 0.000 0.000 0.000 x2
2 Si 0.120 0.000 0.616 x2
3 As 0.337 0.500 0.477 x2
4 N 0.204 0.500 0.655 x2

## Properties
Energy above the lowest structure with this stoichiometry in meV/atom: 203
Formation energy without anion corrections in eV/atom: 0.0485
E_tot in eV/atom: -5.9067

***

(16)
Below is a geometry-optimized SiAs2N structure, with properties calculated at the GGA-PBE level.

Cell: 4.927 4.927 11.964 Å, 90.00 90.00 90.00°
Space group I-42d (No. 122)
Inequivalent atoms, fractional coordinates:
1 Si 0.000 0.000 0.000 x4
2 As 0.186 0.250 0.625 x8
3 N 0.000 0.000 0.500 x4

## Properties
Energy above the lowest structure with this stoichiometry in meV/atom: 0
Formation energy without anion corrections in eV/atom: 0.6814
E_tot in eV/atom: -5.0805

***

(17)
Below is a geometry-optimized Si2AsN structure, with properties calculated at the GGA-PBE level.

Cell: 8.781 2.867 5.747 Å, 90.00 109.95 90.00°
Space group Cm (No. 8)
Inequivalent atoms, fractional coordinates:
1 Si 0.000 0.000 0.000 x2
2 Si 0.171 0.000 0.750 x2
3 As 0.228 0.000 0.374 x2
4 N 0.380 0.000 0.949 x2

## Properties
Energy above the lowest structure with this stoichiometry in meV/atom: 11
Formation energy without anion corrections in eV/atom: -0.1436
E_tot in eV/atom: -6.0988

***

(18)
Below is a geometry-optimized Si2AsN structure, with properties calculated at the GGA-PBE level.

Cell: 8.666 3.070 5.746 Å, 90.00 118.42 90.00°
Space group Cm (No. 8)
Inequivalent atoms, fractional coordinates:
1 Si 0.000 0.000 0.000 x2
2 Si 0.187 0.500 0.739 x2
3 As 0.195 0.500 0.326 x2
4 N 0.101 0.000 0.790 x2

## Properties
Energy above the lowest structure with this stoichiometry in meV/atom: 64
Formation energy without anion corrections in eV/atom: -0.0903
E_tot in eV/atom: -6.0455

***

(19)
Below is a geometry-optimized Si2AsN structure, with properties calculated at the GGA-PBE level.

Cell: 4.626 4.626 11.187 Å, 90.00 90.00 90.00°
Space group I-42d (No. 122)
Inequivalent atoms, fractional coordinates:
1 Si 0.144 0.250 0.125 x8
2 As 0.000 0.000 0.500 x4
3 N 0.000 0.000 0.000 x4

## Properties
Energy above the lowest structure with this stoichiometry in meV/atom: 345
Formation energy without anion corrections in eV/atom: 0.1907
E_tot in eV/atom: -5.7646

***

(20)
Below is a geometry-optimized SiAs2N2 structure, with properties calculated at the GGA-PBE level.

Cell: 5.313 5.313 4.455 Å, 90.00 90.00 90.00°
Space group P4/mbm (No. 127)
Inequivalent atoms, fractional coordinates:
1 Si 0.000 0.000 0.000 x2
2 As 0.182 0.318 0.500 x4
3 N 0.210 0.290 0.000 x4

## Properties
Energy above the lowest structure with this stoichiometry in meV/atom: 0
Formation energy without anion corrections in eV/atom: 0.6740
E_tot in eV/atom: -5.6005